Record 1
NaScBeBi2 after structural relaxation, computed with PBE.

Results
- ΔE_f (eV per atom) = 0.163
- M_tot (μB per formula unit) = 0.00
- DOS at the Fermi energy (states/eV/cell) = 2.89

Cell lengths 5.2153, 4.8454, 5.2153 Å; angles 90.00, 90.00, 90.00 degrees
Fractional positions:
Be 0.0000 0.0000 0.0000
Sc 0.0000 0.5000 0.0000
Na 0.5000 0.5000 0.5000
Bi 0.0000 0.0000 0.5000
Bi 0.5000 0.0000 0.0000


Record 2
NaBe2TlBi after structural relaxation, computed with PBE.

Results
- ΔE_f (eV per atom) = 0.912
- M_tot (μB per formula unit) = 0.00
- DOS at the Fermi energy (states/eV/cell) = 3.34

Cell lengths 4.8144, 6.8322, 4.8144 Å; angles 90.00, 90.00, 90.00 degrees
Fractional positions:
Tl 0.0000 0.5000 0.0000
Na 0.5000 0.5000 0.5000
Be 0.5000 0.0000 0.0000
Be 0.0000 0.0000 0.5000
Bi 0.0000 0.0000 0.0000


Record 3
NaBeZnBi2 after structural relaxation, computed with PBE.

Results
- ΔE_f (eV per atom) = 1.133
- M_tot (μB per formula unit) = 0.00
- DOS at the Fermi energy (states/eV/cell) = 3.09

Cell lengths 5.5233, 4.9519, 5.5233 Å; angles 90.00, 90.00, 90.00 degrees
Fractional positions:
Bi 0.5000 0.0000 0.0000
Bi 0.0000 0.0000 0.5000
Be 0.5000 0.5000 0.5000
Zn 0.0000 0.5000 0.0000
Na 0.0000 0.0000 0.0000


Record 4
BeNb2Bi after structural relaxation, computed with PBE.

Results
- ΔE_f (eV per atom) = 0.608
- M_tot (μB per formula unit) = 0.00
- DOS at the Fermi energy (states/eV/cell) = 7.54

Cell lengths 3.9211, 3.9211, 10.4872 Å; angles 79.23, 79.23, 90.00 degrees
Fractional positions:
Be 0.5000 0.5000 0.0000
Be 0.2500 0.7500 0.5000
Nb 0.6103 0.1250 0.2500
Nb 0.8750 0.8603 0.7500
Nb 0.3750 0.3897 0.7500
Nb 0.1397 0.6250 0.2500
Bi 0.0000 0.0000 0.0000
Bi 0.7500 0.2500 0.5000


Record 5
BeNbBi3 after structural relaxation, computed with PBE.

Results
- ΔE_f (eV per atom) = 0.943
- M_tot (μB per formula unit) = 0.00
- DOS at the Fermi energy (states/eV/cell) = 5.15

Cell lengths 5.4930, 5.4930, 5.4930 Å; angles 90.00, 90.00, 90.00 degrees
Fractional positions:
Bi 0.0000 0.0000 0.5000
Bi 0.5000 0.0000 0.0000
Bi 0.0000 0.5000 0.0000
Be 0.5000 0.5000 0.5000
Nb 0.0000 0.0000 0.0000


Record 6
Be2Nb2Bi after structural relaxation, computed with PBE.

Results
- ΔE_f (eV per atom) = 0.541
- M_tot (μB per formula unit) = 0.00
- DOS at the Fermi energy (states/eV/cell) = 2.18

Cell lengths 3.6003, 3.6003, 7.0612 Å; angles 75.23, 75.23, 90.00 degrees
Fractional positions:
Be 0.7500 0.2500 0.5000
Be 0.2500 0.7500 0.5000
Nb 0.6148 0.6148 0.7705
Nb 0.3852 0.3852 0.2295
Bi 0.0000 0.0000 0.0000


Record 7
BeNb3Bi after structural relaxation, computed with PBE.

Results
- ΔE_f (eV per atom) = 0.450
- M_tot (μB per formula unit) = 0.00
- DOS at the Fermi energy (states/eV/cell) = 7.68

Cell lengths 4.5240, 4.5240, 4.5240 Å; angles 90.00, 90.00, 90.00 degrees
Fractional positions:
Nb 0.0000 0.5000 0.0000
Nb 0.0000 0.0000 0.5000
Nb 0.5000 0.0000 0.0000
Bi 0.5000 0.5000 0.5000
Be 0.0000 0.0000 0.0000


Record 8
BeNbBi2 after structural relaxation, computed with PBE.

Results
- ΔE_f (eV per atom) = 0.776
- M_tot (μB per formula unit) = 1.40
- DOS at the Fermi energy (states/eV/cell) = 3.18

Cell lengths 5.0181, 5.0181, 5.0181 Å; angles 60.00, 60.00, 60.00 degrees
Site moments in Bohr magnetons follow the coordinates.
Fractional positions:
Bi 0.7500 0.7500 0.7500  -0.02
Bi 0.2500 0.2500 0.2500  -0.02
Be 0.0000 0.0000 0.0000  -0.01
Nb 0.5000 0.5000 0.5000  1.12


Record 9
BeNbBi2 after structural relaxation, computed with PBE.

Results
- ΔE_f (eV per atom) = 0.814
- M_tot (μB per formula unit) = 1.00
- DOS at the Fermi energy (states/eV/cell) = 3.14

Cell lengths 6.3947, 6.3947, 7.3612 Å; angles 64.26, 64.26, 90.00 degrees
Site moments in Bohr magnetons follow the coordinates.
Fractional positions:
Be 0.5000 0.5000 0.0000  -0.01
Be 0.2500 0.7500 0.5000  -0.01
Bi 0.1591 0.6250 0.2500  -0.09
Bi 0.8750 0.8409 0.7500  -0.09
Bi 0.5909 0.1250 0.2500  -0.09
Bi 0.3750 0.4091 0.7500  -0.09
Nb 0.0000 0.0000 0.0000  1.00
Nb 0.7500 0.2500 0.5000  0.99


Record 10
Be2NbBi after structural relaxation, computed with PBE.

Results
- ΔE_f (eV per atom) = 0.850
- M_tot (μB per formula unit) = 1.19
- DOS at the Fermi energy (states/eV/cell) = 4.12

Cell lengths 4.5337, 4.5337, 4.5337 Å; angles 60.00, 60.00, 60.00 degrees
Site moments in Bohr magnetons follow the coordinates.
Fractional positions:
Nb 0.0000 0.0000 0.0000  0.95
Be 0.2500 0.2500 0.2500  0.01
Be 0.7500 0.7500 0.7500  0.01
Bi 0.5000 0.5000 0.5000  0.00


Record 11
Be2NbBi after structural relaxation, computed with PBE.

Results
- ΔE_f (eV per atom) = 0.738
- M_tot (μB per formula unit) = 0.00
- DOS at the Fermi energy (states/eV/cell) = 1.14

Cell lengths 6.9681, 6.9681, 5.6761 Å; angles 52.13, 52.13, 90.00 degrees
Fractional positions:
Be 0.1347 0.6250 0.2500
Be 0.3750 0.3847 0.7500
Be 0.6153 0.1250 0.2500
Be 0.8750 0.8653 0.7500
Nb 0.2500 0.7500 0.5000
Nb 0.5000 0.5000 0.0000
Bi 0.0000 0.0000 0.0000
Bi 0.7500 0.2500 0.5000


Record 12
BeNb3Bi after structural relaxation, computed with PBE.

Results
- ΔE_f (eV per atom) = 2.260
- M_tot (μB per formula unit) = 0.00
- DOS at the Fermi energy (states/eV/cell) = 8.47

Cell lengths 5.1384, 5.1384, 5.1384 Å; angles 90.00, 90.00, 90.00 degrees
Fractional positions:
Nb 0.0000 0.5000 0.0000
Nb 0.5000 0.0000 0.0000
Nb 0.0000 0.0000 0.5000
Be 0.5000 0.5000 0.5000
Bi 0.0000 0.0000 0.0000


What is the DOS at the Fermi energy in the third record?
3.09 states/eV/cell


Number 2 is which compound?
NaBe2TlBi


Please write out number 1 again, unchanged.
NaScBeBi2 after structural relaxation, computed with PBE.

Results
- ΔE_f (eV per atom) = 0.163
- M_tot (μB per formula unit) = 0.00
- DOS at the Fermi energy (states/eV/cell) = 2.89

Cell lengths 5.2153, 4.8454, 5.2153 Å; angles 90.00, 90.00, 90.00 degrees
Fractional positions:
Be 0.0000 0.0000 0.0000
Sc 0.0000 0.5000 0.0000
Na 0.5000 0.5000 0.5000
Bi 0.0000 0.0000 0.5000
Bi 0.5000 0.0000 0.0000


Repeat the twelfth record exactly.
BeNb3Bi after structural relaxation, computed with PBE.

Results
- ΔE_f (eV per atom) = 2.260
- M_tot (μB per formula unit) = 0.00
- DOS at the Fermi energy (states/eV/cell) = 8.47

Cell lengths 5.1384, 5.1384, 5.1384 Å; angles 90.00, 90.00, 90.00 degrees
Fractional positions:
Nb 0.0000 0.5000 0.0000
Nb 0.5000 0.0000 0.0000
Nb 0.0000 0.0000 0.5000
Be 0.5000 0.5000 0.5000
Bi 0.0000 0.0000 0.0000